Entry 1:
# Pm3Nd2Dy2

An optimized crystal structure of Pm3Nd2Dy2 (PBE, Alexandria).

Cell: 3.625 8.889 8.122 Å, 68.56 77.09 90.00°
Sites, in units of the cell vectors:
Pm (0.000, 0.000, 0.000)
Pm (0.859, 0.571, 0.282)
Pm (0.141, 0.429, 0.718)
Nd (0.715, 0.144, 0.570)
Nd (0.285, 0.856, 0.430)
Dy (0.430, 0.287, 0.141)
Dy (0.570, 0.713, 0.859)

Values from the calculation:
density of states at the Fermi level = 9.697 states/eV/cell
DFT formation energy = 0.11 eV per formula unit
density = 7.36 g cm⁻³
space group = P-1



Entry 2:
# Pm2Nd5Dy4

An optimized crystal structure of Pm2Nd5Dy4 (PBE, Alexandria).

Cell: 3.549 9.223 12.804 Å, 111.11 97.97 90.00°
Sites, in units of the cell vectors:
Pm (0.269, 0.269, 0.537)
Pm (0.731, 0.731, 0.463)
Nd (0.855, 0.055, 0.710)
Nd (0.855, 0.656, 0.710)
Nd (0.145, 0.344, 0.290)
Nd (0.145, 0.945, 0.290)
Nd (0.500, 0.000, 0.000)
Dy (0.000, 0.312, 0.000)
Dy (0.596, 0.596, 0.193)
Dy (0.000, 0.688, 0.000)
Dy (0.404, 0.404, 0.807)

Values from the calculation:
density of states at the Fermi level = 16.221 states/eV/cell
DFT formation energy = 2.01 eV per formula unit
density = 7.13 g cm⁻³
space group = Immm



Entry 3:
# Pm6Nd8Dy

An optimized crystal structure of Pm6Nd8Dy (PBE, Alexandria).

Cell: 9.293 9.293 8.844 Å, 58.31 58.31 60.00°
Sites, in units of the cell vectors:
Pm (0.461, 0.902, 0.878)
Pm (0.098, 0.241, 0.122)
Pm (0.241, 0.539, 0.122)
Pm (0.759, 0.461, 0.878)
Pm (0.902, 0.759, 0.878)
Pm (0.539, 0.098, 0.122)
Nd (0.250, 0.283, 0.580)
Nd (0.717, 0.113, 0.420)
Nd (0.113, 0.750, 0.420)
Nd (0.578, 0.578, 0.267)
Nd (0.422, 0.422, 0.733)
Nd (0.887, 0.250, 0.580)
Nd (0.283, 0.887, 0.580)
Nd (0.750, 0.717, 0.420)
Dy (0.000, 0.000, 0.000)

Values from the calculation:
density of states at the Fermi level = 21.950 states/eV/cell
DFT formation energy = 1.68 eV per formula unit
density = 6.90 g cm⁻³
space group = R-3



Entry 4:
# Pm3Nd2Dy8

An optimized crystal structure of Pm3Nd2Dy8 (PBE, Alexandria).

Cell: 5.624 7.695 10.980 Å, 110.51 90.02 90.00°
Sites, in units of the cell vectors:
Pm (0.500, 0.000, 0.000)
Pm (0.000, 0.292, 0.000)
Pm (0.000, 0.708, 0.000)
Nd (0.499, 0.241, 0.483)
Nd (0.501, 0.759, 0.517)
Dy (0.000, 0.665, 0.330)
Dy (0.000, 0.335, 0.670)
Dy (0.000, 0.131, 0.262)
Dy (0.000, 0.869, 0.738)
Dy (0.500, 0.603, 0.785)
Dy (0.500, 0.182, 0.785)
Dy (0.500, 0.818, 0.215)
Dy (0.500, 0.397, 0.215)

Values from the calculation:
density of states at the Fermi level = 23.097 states/eV/cell
DFT formation energy = 3.18 eV per formula unit
density = 7.55 g cm⁻³
space group = C2/m



Entry 5:
# Pm10Nd4Dy

An optimized crystal structure of Pm10Nd4Dy (PBE, Alexandria).

Cell: 7.854 9.617 9.617 Å, 80.40 65.90 65.90°
Sites, in units of the cell vectors:
Pm (0.250, 0.500, 0.500)
Pm (0.653, 0.298, 0.900)
Pm (0.049, 0.100, 0.298)
Pm (0.447, 0.900, 0.702)
Pm (0.851, 0.702, 0.100)
Pm (0.347, 0.702, 0.100)
Pm (0.750, 0.500, 0.500)
Pm (0.149, 0.298, 0.900)
Pm (0.553, 0.100, 0.298)
Pm (0.951, 0.900, 0.702)
Nd (0.399, 0.802, 0.399)
Nd (0.799, 0.601, 0.802)
Nd (0.201, 0.399, 0.198)
Nd (0.601, 0.198, 0.601)
Dy (0.000, 0.000, 0.000)

Values from the calculation:
density of states at the Fermi level = 26.931 states/eV/cell
DFT formation energy = 10.80 eV per formula unit
density = 6.01 g cm⁻³
space group = I4/m



Entry 6:
# PmNd5Dy

An optimized crystal structure of PmNd5Dy (PBE, Alexandria).

Cell: 6.970 6.970 13.850 Å, 61.85 61.85 59.89°
Sites, in units of the cell vectors:
Pm (0.000, 0.000, 0.000)
Pm (0.000, 0.000, 0.500)
Nd (0.162, 0.398, 0.751)
Nd (0.658, 0.689, 0.499)
Nd (0.398, 0.162, 0.251)
Nd (0.168, 0.832, 0.750)
Nd (0.311, 0.342, 0.001)
Nd (0.689, 0.658, 0.999)
Nd (0.832, 0.168, 0.250)
Nd (0.602, 0.838, 0.749)
Nd (0.342, 0.311, 0.501)
Nd (0.838, 0.602, 0.249)
Dy (0.724, 0.276, 0.750)
Dy (0.276, 0.724, 0.250)

Values from the calculation:
density of states at the Fermi level = 18.590 states/eV/cell
DFT formation energy = 1.13 eV per formula unit
density = 7.00 g cm⁻³
space group = C2/c



Entry 7:
# Pm2Nd6Dy3

An optimized crystal structure of Pm2Nd6Dy3 (PBE, Alexandria).

Cell: 6.305 8.143 14.991 Å, 49.30 60.62 97.29°
Sites, in units of the cell vectors:
Pm (0.639, 0.457, 0.090)
Pm (0.361, 0.543, 0.910)
Nd (0.092, 0.637, 0.727)
Nd (0.729, 0.092, 0.817)
Nd (0.908, 0.363, 0.273)
Nd (0.271, 0.908, 0.183)
Nd (0.817, 0.724, 0.546)
Nd (0.183, 0.276, 0.454)
Dy (0.000, 0.000, 0.000)
Dy (0.547, 0.818, 0.363)
Dy (0.453, 0.182, 0.637)

Values from the calculation:
density of states at the Fermi level = 15.045 states/eV/cell
DFT formation energy = 0.15 eV per formula unit
density = 7.29 g cm⁻³
space group = P-1



Entry 8:
# PmNd4Dy8

An optimized crystal structure of PmNd4Dy8 (PBE, Alexandria).

Cell: 11.078 11.078 7.833 Å, 90.00 135.00 120.00°
Sites, in units of the cell vectors:
Pm (0.000, 0.500, 0.500)
Nd (0.000, 0.000, 0.000)
Nd (0.000, 0.500, 0.000)
Nd (0.500, 0.500, 0.000)
Nd (0.500, 0.000, 0.000)
Dy (0.522, 0.761, 0.283)
Dy (0.478, 0.239, 0.717)
Dy (0.479, 0.239, 0.240)
Dy (0.000, 0.239, 0.760)
Dy (0.521, 0.761, 0.760)
Dy (0.000, 0.761, 0.760)
Dy (0.000, 0.239, 0.240)
Dy (0.000, 0.761, 0.240)

Values from the calculation:
density of states at the Fermi level = 20.460 states/eV/cell
DFT formation energy = 6.69 eV per formula unit
density = 6.99 g cm⁻³
space group = Pm-3m



Entry 9:
# Pm7Nd2Dy2

An optimized crystal structure of Pm7Nd2Dy2 (PBE, Alexandria).

Cell: 9.689 9.689 9.342 Å, 135.57 135.57 42.84°
Sites, in units of the cell vectors:
Pm (0.986, 0.527, 0.338)
Pm (0.473, 0.014, 0.662)
Pm (0.014, 0.473, 0.662)
Pm (0.527, 0.986, 0.338)
Pm (0.000, 0.000, 0.000)
Pm (0.493, 0.493, 0.816)
Pm (0.507, 0.507, 0.184)
Nd (0.761, 0.761, 0.989)
Nd (0.239, 0.239, 0.011)
Dy (0.750, 0.250, 0.500)
Dy (0.250, 0.750, 0.500)

Values from the calculation:
density of states at the Fermi level = 15.308 states/eV/cell
DFT formation energy = 1.93 eV per formula unit
density = 7.07 g cm⁻³
space group = C2/m



Entry 10:
# Pm6Nd12Dy

An optimized crystal structure of Pm6Nd12Dy (PBE, Alexandria).

Cell: 8.758 8.758 8.758 Å, 89.18 89.18 89.18°
Sites, in units of the cell vectors:
Pm (0.738, 0.904, 0.300)
Pm (0.700, 0.262, 0.096)
Pm (0.096, 0.700, 0.262)
Pm (0.262, 0.096, 0.700)
Pm (0.300, 0.738, 0.904)
Pm (0.904, 0.300, 0.738)
Nd (0.780, 0.536, 0.435)
Nd (0.435, 0.780, 0.536)
Nd (0.536, 0.435, 0.780)
Nd (0.220, 0.464, 0.565)
Nd (0.565, 0.220, 0.464)
Nd (0.464, 0.565, 0.220)
Nd (0.018, 0.193, 0.360)
Nd (0.807, 0.640, 0.982)
Nd (0.640, 0.982, 0.807)
Nd (0.982, 0.807, 0.640)
Nd (0.193, 0.360, 0.018)
Nd (0.360, 0.018, 0.193)
Dy (0.000, 0.000, 0.000)

Values from the calculation:
density of states at the Fermi level = 30.352 states/eV/cell
DFT formation energy = 2.43 eV per formula unit
density = 6.83 g cm⁻³
space group = R-3



Entry 11:
# Pm12NdDy7

An optimized crystal structure of Pm12NdDy7 (PBE, Alexandria).

Cell: 9.980 9.980 9.980 Å, 109.47 109.47 109.47°
Sites, in units of the cell vectors:
Pm (0.495, 0.748, 0.747)
Pm (0.001, 0.748, 0.253)
Pm (0.505, 0.252, 0.253)
Pm (0.999, 0.252, 0.747)
Pm (0.747, 0.999, 0.252)
Pm (0.747, 0.495, 0.748)
Pm (0.253, 0.001, 0.748)
Pm (0.253, 0.505, 0.252)
Pm (0.748, 0.747, 0.495)
Pm (0.252, 0.253, 0.505)
Pm (0.748, 0.253, 0.001)
Pm (0.252, 0.747, 0.999)
Nd (0.000, 0.000, 0.000)
Dy (0.500, 0.500, 0.000)
Dy (0.000, 0.500, 0.500)
Dy (0.500, 0.000, 0.500)
Dy (0.500, 0.500, 0.500)
Dy (0.000, 0.000, 0.500)
Dy (0.500, 0.000, 0.000)
Dy (0.000, 0.500, 0.000)

Values from the calculation:
density of states at the Fermi level = 25.063 states/eV/cell
DFT formation energy = 13.30 eV per formula unit
density = 6.56 g cm⁻³
space group = Im-3



Entry 12:
# PmNd3Dy5

An optimized crystal structure of PmNd3Dy5 (PBE, Alexandria).

Cell: 6.372 12.532 11.564 Å, 133.74 90.00 104.73°
Sites, in units of the cell vectors:
Pm (0.875, 0.000, 0.750)
Pm (0.125, 0.000, 0.250)
Nd (0.000, 0.000, 0.000)
Nd (0.481, 0.311, 0.293)
Nd (0.000, 0.000, 0.500)
Nd (0.519, 0.689, 0.707)
Nd (0.830, 0.311, 0.793)
Nd (0.170, 0.689, 0.207)
Dy (0.400, 0.000, 0.750)
Dy (0.656, 0.660, 0.047)
Dy (0.888, 0.349, 0.127)
Dy (0.344, 0.340, 0.953)
Dy (0.539, 0.651, 0.373)
Dy (0.600, 0.000, 0.250)
Dy (0.004, 0.660, 0.547)
Dy (0.996, 0.340, 0.453)
Dy (0.461, 0.349, 0.627)
Dy (0.112, 0.651, 0.873)

Values from the calculation:
density of states at the Fermi level = 25.002 states/eV/cell
DFT formation energy = 2.59 eV per formula unit
density = 7.39 g cm⁻³
space group = C2/c



Entry 13:
# Pm4NdDy8

An optimized crystal structure of Pm4NdDy8 (PBE, Alexandria).

Cell: 7.404 7.404 9.992 Å, 90.00 111.75 120.00°
Sites, in units of the cell vectors:
Pm (0.000, 0.000, 0.000)
Pm (0.000, 0.500, 0.000)
Pm (0.500, 0.500, 0.000)
Pm (0.500, 0.000, 0.000)
Nd (0.000, 0.500, 0.500)
Dy (0.563, 0.781, 0.344)
Dy (0.437, 0.219, 0.656)
Dy (0.501, 0.250, 0.311)
Dy (0.939, 0.189, 0.689)
Dy (0.499, 0.750, 0.689)
Dy (0.939, 0.750, 0.689)
Dy (0.061, 0.250, 0.311)
Dy (0.061, 0.811, 0.311)

Values from the calculation:
density of states at the Fermi level = 15.154 states/eV/cell
DFT formation energy = 2.45 eV per formula unit
density = 7.84 g cm⁻³
space group = R-3m



Entry 14:
# Pm5Nd2Dy3

An optimized crystal structure of Pm5Nd2Dy3 (PBE, Alexandria).

Cell: 9.700 9.747 11.227 Å, 126.39 126.29 68.39°
Sites, in units of the cell vectors:
Pm (0.282, 0.532, 0.063)
Pm (0.718, 0.468, 0.937)
Pm (0.020, 0.770, 0.539)
Pm (0.520, 0.270, 0.540)
Pm (0.980, 0.230, 0.461)
Pm (0.480, 0.730, 0.460)
Pm (0.870, 0.616, 0.764)
Pm (0.130, 0.384, 0.236)
Pm (0.394, 0.149, 0.764)
Pm (0.606, 0.851, 0.236)
Nd (0.785, 0.021, 0.753)
Nd (0.215, 0.979, 0.247)
Nd (0.469, 0.733, 0.753)
Nd (0.531, 0.267, 0.247)
Dy (0.227, 0.977, 0.954)
Dy (0.773, 0.023, 0.046)
Dy (0.732, 0.463, 0.241)
Dy (0.268, 0.537, 0.759)
Dy (0.010, 0.778, 0.241)
Dy (0.990, 0.222, 0.759)

Values from the calculation:
density of states at the Fermi level = 36.176 states/eV/cell
DFT formation energy = 1.86 eV per formula unit
density = 7.24 g cm⁻³
space group = C2/c



Entry 15:
# Pm3Nd5Dy

An optimized crystal structure of Pm3Nd5Dy (PBE, Alexandria).

Cell: 8.156 8.156 11.794 Å, 72.04 72.04 89.75°
Sites, in units of the cell vectors:
Pm (0.621, 0.621, 0.843)
Pm (0.792, 0.792, 0.348)
Pm (0.000, 0.000, 0.000)
Pm (0.000, 0.000, 0.500)
Pm (0.379, 0.379, 0.157)
Pm (0.208, 0.208, 0.652)
Nd (0.966, 0.435, 0.352)
Nd (0.255, 0.745, 0.000)
Nd (0.694, 0.694, 0.094)
Nd (0.470, 0.470, 0.381)
Nd (0.530, 0.530, 0.619)
Nd (0.306, 0.306, 0.906)
Nd (0.435, 0.966, 0.352)
Nd (0.745, 0.255, 0.000)
Nd (0.034, 0.565, 0.648)
Nd (0.565, 0.034, 0.648)
Dy (0.909, 0.909, 0.795)
Dy (0.091, 0.091, 0.205)

Values from the calculation:
density of states at the Fermi level = 27.823 states/eV/cell
DFT formation energy = 4.94 eV per formula unit
density = 6.20 g cm⁻³
space group = C2/m



Entry 16:
# PmNdDy14

An optimized crystal structure of PmNdDy14 (PBE, Alexandria).

Cell: 7.141 7.141 11.500 Å, 90.00 90.00 119.95°
Sites, in units of the cell vectors:
Pm (0.208, 0.792, 0.500)
Nd (0.708, 0.292, 0.500)
Dy (0.042, 0.958, 0.000)
Dy (0.541, 0.459, 0.000)
Dy (0.208, 0.292, 0.500)
Dy (0.042, 0.458, 0.000)
Dy (0.708, 0.792, 0.500)
Dy (0.542, 0.958, 0.000)
Dy (0.375, 0.125, 0.753)
Dy (0.375, 0.125, 0.247)
Dy (0.875, 0.625, 0.753)
Dy (0.875, 0.625, 0.247)
Dy (0.375, 0.625, 0.751)
Dy (0.375, 0.625, 0.249)
Dy (0.875, 0.125, 0.752)
Dy (0.875, 0.125, 0.248)

Values from the calculation:
density of states at the Fermi level = 18.339 states/eV/cell
DFT formation energy = 0.08 eV per formula unit
density = 8.38 g cm⁻³
space group = Amm2



Entry 17:
# Pm2Nd7Dy3

An optimized crystal structure of Pm2Nd7Dy3 (PBE, Alexandria).

Cell: 3.664 5.848 19.518 Å, 98.62 90.00 90.00°
Sites, in units of the cell vectors:
Pm (0.000, 0.851, 0.703)
Pm (0.000, 0.149, 0.297)
Nd (0.000, 0.409, 0.817)
Nd (0.000, 0.768, 0.537)
Nd (0.000, 0.000, 0.000)
Nd (0.000, 0.591, 0.183)
Nd (0.500, 0.072, 0.144)
Nd (0.500, 0.928, 0.856)
Nd (0.000, 0.232, 0.463)
Dy (0.500, 0.500, 0.000)
Dy (0.500, 0.685, 0.370)
Dy (0.500, 0.315, 0.630)

Values from the calculation:
density of states at the Fermi level = 19.842 states/eV/cell
DFT formation energy = 1.33 eV per formula unit
density = 7.18 g cm⁻³
space group = Cmmm



Entry 18:
# Pm2NdDy12

An optimized crystal structure of Pm2NdDy12 (PBE, Alexandria).

Cell: 6.642 6.642 25.009 Å, 96.55 96.55 115.33°
Sites, in units of the cell vectors:
Pm (0.456, 0.956, 0.273)
Pm (0.956, 0.456, 0.273)
Pm (0.044, 0.544, 0.727)
Pm (0.544, 0.044, 0.727)
Nd (0.500, 0.000, 0.000)
Nd (0.000, 0.500, 0.000)
Dy (0.598, 0.598, 0.799)
Dy (0.098, 0.098, 0.799)
Dy (0.943, 0.943, 0.925)
Dy (0.396, 0.896, 0.863)
Dy (0.999, 0.999, 0.331)
Dy (0.104, 0.604, 0.137)
Dy (0.680, 0.180, 0.572)
Dy (0.499, 0.499, 0.331)
Dy (0.443, 0.443, 0.925)
Dy (0.557, 0.557, 0.075)
Dy (0.167, 0.167, 0.555)
Dy (0.820, 0.320, 0.428)
Dy (0.001, 0.001, 0.669)
Dy (0.333, 0.333, 0.445)
Dy (0.057, 0.057, 0.075)
Dy (0.833, 0.833, 0.445)
Dy (0.667, 0.667, 0.555)
Dy (0.902, 0.902, 0.201)
Dy (0.179, 0.679, 0.572)
Dy (0.501, 0.501, 0.669)
Dy (0.896, 0.396, 0.863)
Dy (0.402, 0.402, 0.201)
Dy (0.321, 0.821, 0.428)
Dy (0.604, 0.104, 0.137)

Values from the calculation:
density of states at the Fermi level = 44.139 states/eV/cell
DFT formation energy = 1.62 eV per formula unit
density = 8.13 g cm⁻³
space group = C2/m